[1]
Density functional theory data (PBE) for crystalline Rb2HoSnTe4 at its relaxed geometry.

Calculated values
formation energy from raw total energies	-0.948	eV per atom

Structure (extended XYZ):
```
8
Lattice="7.927 0.000 0.000 0.000 4.481 0.000 -2.545 0.000 8.573" Properties=species:S:1:pos:R:3 pbc="T T T"
Rb 0.000 0.000 0.000
Rb 3.964 2.241 0.000
Ho -1.273 2.241 4.286
Sn 2.691 0.000 4.286
Te 0.051 0.000 5.972
Te 1.322 2.241 2.605
Te 4.060 2.241 5.967
Te 5.331 0.000 2.600
```

=====

[2]
Density functional theory data (PBE) for crystalline Rb3Ho3SnTe8 at its relaxed geometry.

Calculated values
formation energy from raw total energies	-1.100	eV per atom

Structure (extended XYZ):
```
15
Lattice="7.668 -4.416 0.000 7.668 4.416 0.000 -5.122 0.000 8.786" Properties=species:S:1:pos:R:3 pbc="T T T"
Rb 0.000 0.000 0.000
Rb 3.834 2.208 0.000
Rb 3.834 -2.208 0.000
Ho 1.273 2.208 4.393
Ho 1.273 -2.208 4.393
Ho 5.107 0.000 4.393
Sn -2.561 0.000 4.393
Te -0.027 0.000 6.107
Te 3.839 2.228 6.106
Te 6.375 2.228 2.680
Te 2.553 0.000 2.645
Te 7.660 0.000 6.141
Te 3.839 -2.228 6.106
Te 6.375 -2.228 2.680
Te 10.240 0.000 2.679
```

=====

[3]
Density functional theory data (PBE) for crystalline RbTb2Ho at its relaxed geometry.

Calculated values
ΔH_f (0 K)	1.2	eV/f.u.

Structure (extended XYZ):
```
4
Lattice="1.808 1.044 13.253 -1.808 1.044 13.253 0.000 -2.088 13.253" Properties=species:S:1:pos:R:3 pbc="T T T"
Rb 0.000 0.000 0.000
Tb 0.000 0.000 3.830
Tb 0.000 0.000 35.930
Ho 0.000 0.000 19.880
```

=====

[4]
Density functional theory data (PBE) for crystalline RbTbHo2 at its relaxed geometry.

Calculated values
ΔH_f (0 K)	1.2	eV/f.u.

Structure (extended XYZ):
```
4
Lattice="1.802 1.040 13.171 -1.802 1.040 13.171 0.000 -2.081 13.171" Properties=species:S:1:pos:R:3 pbc="T T T"
Rb 0.000 0.000 0.000
Tb 0.000 0.000 19.756
Ho 0.000 0.000 3.781
Ho 0.000 0.000 35.731
```

=====

[5]
Density functional theory data (PBE) for crystalline Rb3TbHo3Te8 at its relaxed geometry.

Calculated values
formation energy from raw total energies	-1.313	eV per atom

Structure (extended XYZ):
```
15
Lattice="4.401 2.541 8.834 -4.401 2.541 8.834 0.000 -5.082 8.834" Properties=species:S:1:pos:R:3 pbc="T T T"
Rb -2.200 -1.270 8.834
Rb -2.200 1.270 17.669
Rb 0.000 2.541 8.834
Tb 0.000 0.000 13.252
Ho -4.401 0.000 13.252
Ho -2.200 1.270 4.417
Ho 2.200 1.270 4.417
Te -2.229 -1.287 15.013
Te 0.000 0.000 6.176
Te 0.000 -2.573 11.490
Te -2.229 1.287 11.490
Te 2.229 -1.287 15.013
Te 0.000 2.573 15.013
Te 0.000 0.000 20.327
Te 2.229 1.287 11.490
```

=====

[6]
Density functional theory data (PBE) for crystalline Rb3Tb2HoTe6 at its relaxed geometry.

Calculated values
formation energy from raw total energies	-1.386	eV per atom

Structure (extended XYZ):
```
12
Lattice="3.924 -6.797 0.000 3.924 6.797 0.000 -2.618 0.000 8.554" Properties=species:S:1:pos:R:3 pbc="T T T"
Rb 0.000 0.000 0.000
Rb 3.924 2.275 0.000
Rb 3.924 -2.275 0.000
Tb 2.616 4.533 4.277
Tb 2.616 -4.533 4.277
Ho 2.616 0.000 4.277
Te 1.315 2.253 2.572
Te 0.015 0.000 5.984
Te 1.315 -2.253 2.572
Te 3.916 2.253 5.982
Te 5.217 0.000 2.569
Te 3.916 -2.253 5.982
```

=====

[7]
Density functional theory data (PBE) for crystalline Rb4TbHo3Te8 at its relaxed geometry.

Calculated values
formation energy from raw total energies	-1.380	eV per atom

Structure (extended XYZ):
```
16
Lattice="4.519 2.609 8.551 -4.519 2.609 8.551 0.000 -5.218 8.551" Properties=species:S:1:pos:R:3 pbc="T T T"
Rb 0.000 0.000 0.000
Rb -2.259 -1.304 8.551
Rb -2.259 1.304 17.102
Rb 0.000 2.609 8.551
Tb 0.000 0.000 12.827
Ho -4.519 0.000 12.827
Ho -2.259 1.304 4.276
Ho 2.259 1.304 4.276
Te -2.271 -1.311 14.528
Te 0.000 0.000 5.970
Te 0.000 -2.622 11.125
Te -2.271 1.311 11.125
Te 2.271 -1.311 14.528
Te 0.000 2.622 14.528
Te 0.000 0.000 19.683
Te 2.271 1.311 11.125
```

=====

[8]
Density functional theory data (PBE) for crystalline RbHoTe2 at its relaxed geometry.

Calculated values
formation energy from raw total energies	-1.365	eV per atom

Structure (extended XYZ):
```
4
Lattice="2.247 1.297 8.654 -2.247 1.297 8.654 0.000 -2.594 8.654" Properties=species:S:1:pos:R:3 pbc="T T T"
Rb 0.000 0.000 0.000
Ho 0.000 0.000 4.376
Te 0.000 0.000 14.735
Te 0.000 0.000 19.967
```

=====

[9]
Density functional theory data (PBE) for crystalline Rb2Ho3Te6 at its relaxed geometry.

Calculated values
formation energy from raw total energies	-1.287	eV per atom

Structure (extended XYZ):
```
11
Lattice="3.767 -6.526 0.000 3.767 6.526 0.000 -2.515 0.000 8.958" Properties=species:S:1:pos:R:3 pbc="T T T"
Rb 3.767 4.353 0.000
Rb 3.767 -4.353 0.000
Ho -1.258 0.000 4.479
Ho 2.510 2.187 4.479
Ho 2.510 -2.187 4.479
Te 0.008 2.159 6.264
Te 1.272 0.000 2.703
Te 0.008 -2.159 6.264
Te 5.011 2.159 2.695
Te 3.747 0.000 6.255
Te 5.011 -2.159 2.695
```

=====

[10]
Density functional theory data (PBE) for crystalline Rb2HoTe6 at its relaxed geometry.

Calculated values
formation energy from raw total energies	-0.670	eV per atom

Structure (extended XYZ):
```
9
Lattice="8.269 -4.571 0.000 8.269 4.571 0.000 -0.817 0.000 5.019" Properties=species:S:1:pos:R:3 pbc="T T T"
Rb 2.472 0.000 2.078
Rb 13.249 0.000 2.941
Ho 8.269 0.000 0.000
Te 5.564 1.603 0.571
Te 7.861 1.893 2.510
Te 10.158 1.603 4.448
Te 5.564 -1.603 0.571
Te 7.861 -1.893 2.510
Te 10.158 -1.603 4.448
```

=====

[11]
Density functional theory data (PBE) for crystalline Rb4HoTh3Te8 at its relaxed geometry.

Calculated values
formation energy from raw total energies	-1.208	eV per atom

Structure (extended XYZ):
```
16
Lattice="4.501 2.599 8.750 -4.501 2.599 8.750 0.000 -5.198 8.750" Properties=species:S:1:pos:R:3 pbc="T T T"
Rb 0.000 0.000 0.000
Rb -2.251 -1.299 8.750
Rb -2.251 1.299 17.499
Rb 0.000 2.599 8.750
Ho 0.000 0.000 13.124
Th -4.501 0.000 13.124
Th -2.251 1.299 4.375
Th 2.251 1.299 4.375
Te 0.000 0.000 6.233
Te -2.206 -1.274 14.931
Te 0.000 -2.548 11.318
Te -2.206 1.274 11.318
Te 2.206 -1.274 14.931
Te 0.000 2.548 14.931
Te 2.206 1.274 11.318
Te 0.000 0.000 20.016
```

=====

[12]
Density functional theory data (PBE) for crystalline Rb2HoThTe4 at its relaxed geometry.

Calculated values
formation energy from raw total energies	-1.260	eV per atom

Structure (extended XYZ):
```
8
Lattice="7.833 0.000 0.000 0.000 4.498 0.000 -2.577 0.000 8.665" Properties=species:S:1:pos:R:3 pbc="T T T"
Rb 0.000 0.000 0.000
Rb 3.917 2.249 0.000
Ho -1.289 2.249 4.332
Th 2.628 0.000 4.332
Te -0.016 0.000 6.082
Te 1.266 2.249 2.538
Te 3.989 2.249 6.127
Te 5.272 0.000 2.583
```

=====

[13]
Density functional theory data (PBE) for crystalline Rb4Ho3ThTe8 at its relaxed geometry.

Calculated values
formation energy from raw total energies	-1.317	eV per atom

Structure (extended XYZ):
```
16
Lattice="4.511 2.604 8.601 -4.511 2.604 8.601 0.000 -5.209 8.601" Properties=species:S:1:pos:R:3 pbc="T T T"
Rb 0.000 0.000 0.000
Rb -2.256 -1.302 8.601
Rb -2.256 1.302 17.201
Rb 0.000 2.604 8.601
Ho -4.511 0.000 12.901
Ho -2.256 1.302 4.300
Ho 2.256 1.302 4.300
Th 0.000 0.000 12.901
Te -2.287 -1.320 14.643
Te 0.000 0.000 6.006
Te 0.000 -2.641 11.159
Te -2.287 1.320 11.159
Te 2.287 -1.320 14.643
Te 0.000 2.641 14.643
Te 0.000 0.000 19.795
Te 2.287 1.320 11.159
```

=====

[14]
Density functional theory data (PBE) for crystalline Rb3Ho3ThTe8 at its relaxed geometry.

Calculated values
formation energy from raw total energies	-1.351	eV per atom

Structure (extended XYZ):
```
15
Lattice="4.481 2.587 8.704 -4.481 2.587 8.704 0.000 -5.174 8.704" Properties=species:S:1:pos:R:3 pbc="T T T"
Rb -2.240 -1.293 8.704
Rb -2.240 1.293 17.407
Rb 0.000 2.587 8.704
Ho -4.481 0.000 13.056
Ho -2.240 1.293 4.352
Ho 2.240 1.293 4.352
Th 0.000 0.000 13.056
Te -2.284 -1.319 14.793
Te 0.000 0.000 6.068
Te 0.000 -2.637 11.318
Te -2.284 1.319 11.318
Te 2.284 -1.319 14.793
Te 0.000 2.637 14.793
Te 0.000 0.000 20.043
Te 2.284 1.319 11.318
```

=====

[15]
Density functional theory data (PBE) for crystalline Rb3Ho2ThTe6 at its relaxed geometry.

Calculated values
formation energy from raw total energies	-1.298	eV per atom

Structure (extended XYZ):
```
12
Lattice="3.905 -6.764 0.000 3.905 6.764 0.000 -2.604 0.000 8.623" Properties=species:S:1:pos:R:3 pbc="T T T"
Rb 0.000 0.000 0.000
Rb 3.905 2.238 0.000
Rb 3.905 -2.238 0.000
Ho 2.603 4.507 4.312
Ho 2.603 -4.507 4.312
Th 2.603 0.000 4.312
Te 1.282 2.288 2.564
Te -0.040 0.000 6.056
Te 1.282 -2.288 2.564
Te 3.923 2.288 6.059
Te 5.245 0.000 2.568
Te 3.923 -2.288 6.059
```

=====

[16]
Density functional theory data (PBE) for crystalline Rb3HoTh3Te8 at its relaxed geometry.

Calculated values
formation energy from raw total energies	-1.233	eV per atom

Structure (extended XYZ):
```
15
Lattice="4.472 2.582 8.896 -4.472 2.582 8.896 0.000 -5.163 8.896" Properties=species:S:1:pos:R:3 pbc="T T T"
Rb -2.236 -1.291 8.896
Rb -2.236 1.291 17.791
Rb 0.000 2.582 8.896
Ho 0.000 0.000 13.343
Th -4.472 0.000 13.343
Th -2.236 1.291 4.448
Th 2.236 1.291 4.448
Te 0.000 0.000 6.324
Te -2.206 -1.274 15.144
Te 0.000 -2.547 11.543
Te -2.206 1.274 11.543
Te 2.206 -1.274 15.144
Te 0.000 2.547 15.144
Te 2.206 1.274 11.543
Te 0.000 0.000 20.363
```

=====

[17]
Density functional theory data (PBE) for crystalline Rb3Ho3TiTe8 at its relaxed geometry.

Calculated values
formation energy from raw total energies	-1.198	eV per atom

Structure (extended XYZ):
```
15
Lattice="4.358 2.516 8.788 -4.358 2.516 8.788 0.000 -5.032 8.788" Properties=species:S:1:pos:R:3 pbc="T T T"
Rb -2.179 -1.258 8.788
Rb -2.179 1.258 17.576
Rb 0.000 2.516 8.788
Ho -4.358 0.000 13.182
Ho -2.179 1.258 4.394
Ho 2.179 1.258 4.394
Ti 0.000 0.000 13.182
Te 0.000 0.000 6.153
Te -2.035 -1.175 14.830
Te 0.000 -2.350 11.534
Te -2.035 1.175 11.534
Te 2.035 -1.175 14.830
Te 0.000 2.350 14.830
Te 2.035 1.175 11.534
Te 0.000 0.000 20.211
```

=====

[18]
Density functional theory data (PBE) for crystalline Rb4Ho3TmTe8 at its relaxed geometry.

Calculated values
formation energy from raw total energies	-1.372	eV per atom

Structure (extended XYZ):
```
16
Lattice="4.504 2.600 8.549 -4.504 2.600 8.549 0.000 -5.201 8.549" Properties=species:S:1:pos:R:3 pbc="T T T"
Rb 0.000 0.000 0.000
Rb -2.252 -1.300 8.549
Rb -2.252 1.300 17.098
Rb 0.000 2.600 8.549
Ho -4.504 0.000 12.823
Ho -2.252 1.300 4.274
Ho 2.252 1.300 4.274
Tm 0.000 0.000 12.823
Te 0.000 0.000 5.972
Te -2.240 -1.293 14.514
Te 0.000 -2.587 11.133
Te -2.240 1.293 11.133
Te 2.240 -1.293 14.514
Te 0.000 2.587 14.514
Te 2.240 1.293 11.133
Te 0.000 0.000 19.675
```

=====

[19]
Density functional theory data (PBE) for crystalline Rb3Ho2TmTe6 at its relaxed geometry.

Calculated values
formation energy from raw total energies	-1.370	eV per atom

Structure (extended XYZ):
```
12
Lattice="3.898 -6.752 0.000 3.898 6.752 0.000 -2.599 0.000 8.547" Properties=species:S:1:pos:R:3 pbc="T T T"
Rb 0.000 0.000 0.000
Rb 3.898 2.259 0.000
Rb 3.898 -2.259 0.000
Ho 2.599 4.503 4.274
Ho 2.599 -4.503 4.274
Tm 2.599 0.000 4.274
Te 1.307 2.239 2.583
Te 0.015 0.000 5.966
Te 1.307 -2.239 2.583
Te 3.891 2.239 5.965
Te 5.183 0.000 2.581
Te 3.891 -2.239 5.965
```

=====

[20]
Density functional theory data (PBE) for crystalline Rb4HoTm3Te8 at its relaxed geometry.

Calculated values
formation energy from raw total energies	-1.362	eV per atom

Structure (extended XYZ):
```
16
Lattice="4.490 2.593 8.545 -4.490 2.593 8.545 0.000 -5.185 8.545" Properties=species:S:1:pos:R:3 pbc="T T T"
Rb 0.000 0.000 0.000
Rb -2.245 -1.296 8.545
Rb -2.245 1.296 17.090
Rb 0.000 2.593 8.545
Ho 0.000 0.000 12.817
Tm -4.490 0.000 12.817
Tm -2.245 1.296 4.272
Tm 2.245 1.296 4.272
Te -2.256 -1.303 14.503
Te 0.000 0.000 5.952
Te 0.000 -2.605 11.131
Te -2.256 1.303 11.131
Te 2.256 -1.303 14.503
Te 0.000 2.605 14.503
Te 0.000 0.000 19.682
Te 2.256 1.303 11.131
```

=====

Summary of DFT total energy in eV per atom
-3.83, -4.15, -3.41, -3.38, -4.41, -4.35, -4.34, -4.32, -4.43, -3.49, -4.70, -4.57, -4.45, -4.63, -4.49, -4.89, -4.51, -4.32, -4.32, -4.30
(order as listed above)